1.
Computed, not measured: HoHfPd after structural relaxation at the GGA-PBE level of DFT.

Structure (CIF):
```
data_HoHfPd
_cell_length_a 4.5530
_cell_length_b 4.5530
_cell_length_c 8.8051
_cell_angle_alpha 75.02
_cell_angle_beta 75.02
_cell_angle_gamma 60.00
_space_group_name_H-M_alt 'P 1'
_space_group_IT_number 1
_space_group_name_Hall 'P 1'
loop_
_atom_site_label
_atom_site_type_symbol
_atom_site_fract_x
_atom_site_fract_y
_atom_site_fract_z
Hf1 Hf 0.3705 0.3705 0.8886
Hf2 Hf 0.6295 0.6295 0.1114
Ho1 Ho 0.8791 0.8791 0.3628
Ho2 Ho 0.1209 0.1209 0.6372
Pd1 Pd 0.2632 0.2632 0.2105
Pd2 Pd 0.7368 0.7368 0.7895
```

Results
The magnetic moment comes out at 0.000 μB per formula unit. Its space group is R-3m. The density of states at the Fermi level comes out at 6.25 states/eV per cell. The calculation puts the total energy at -41.04 eV for the cell shown. The energy above the most stable polymorph in this dataset comes out at 175.8 meV per atom. Its crystal system is trigonal. Its formation energy is -0.265 eV/atom.

***

2.
Computed, not measured: CaHo5Zn6 after structural relaxation at the GGA-PBE level of DFT.

Structure (CIF):
```
data_CaHo5Zn6
_cell_length_a 5.0576
_cell_length_b 7.1115
_cell_length_c 7.9920
_cell_angle_alpha 90.00
_cell_angle_beta 71.55
_cell_angle_gamma 90.00
_space_group_name_H-M_alt 'P 1'
_space_group_IT_number 1
_space_group_name_Hall 'P 1'
loop_
_atom_site_label
_atom_site_type_symbol
_atom_site_fract_x
_atom_site_fract_y
_atom_site_fract_z
Zn1 Zn 0.1702 0.2544 0.6596
Zn2 Zn 0.8298 0.7456 0.3404
Zn3 Zn 0.8298 0.2544 0.3404
Zn4 Zn 0.5000 0.2597 0.0000
Zn5 Zn 0.5000 0.7403 0.0000
Zn6 Zn 0.1702 0.7456 0.6596
Ca1 Ca 0.0000 0.0000 0.0000
Ho1 Ho 0.3344 0.5000 0.3312
Ho2 Ho 0.6656 0.5000 0.6688
Ho3 Ho 0.0000 0.5000 0.0000
Ho4 Ho 0.3343 0.0000 0.3315
Ho5 Ho 0.6657 0.0000 0.6685
```

Results
The magnetic moment comes out at 0.000 μB per formula unit. Its space group is Cmmm. The density of states at the Fermi level comes out at 10.65 states/eV per cell. The calculation puts the total energy at -36.45 eV for the cell shown. Its crystal system is orthorhombic. Its formation energy is -0.326 eV/atom.

***

3.
Computed, not measured: TbPuSc2 after structural relaxation at the GGA-PBE level of DFT.

Structure (CIF):
```
data_TbPuSc2
_cell_length_a 3.3650
_cell_length_b 3.3650
_cell_length_c 10.9809
_cell_angle_alpha 81.19
_cell_angle_beta 81.19
_cell_angle_gamma 60.00
_space_group_name_H-M_alt 'P 1'
_space_group_IT_number 1
_space_group_name_Hall 'P 1'
loop_
_atom_site_label
_atom_site_type_symbol
_atom_site_fract_x
_atom_site_fract_y
_atom_site_fract_z
Sc1 Sc 0.0810 0.0810 0.7570
Sc2 Sc 0.2523 0.2523 0.2432
Pu1 Pu 0.6663 0.6663 0.0012
Tb1 Tb 0.5004 0.5004 0.4987
```

Results
The magnetic moment comes out at 5.545 μB per formula unit. Its space group is R3m. The density of states at the Fermi level comes out at 10.98 states/eV per cell. The calculation puts the total energy at -31.22 eV for the cell shown. The energy above the most stable polymorph in this dataset comes out at 1.3 meV per atom. Its crystal system is trigonal. Its formation energy is 0.103 eV/atom.